No. 1
A plane-wave DFT calculation with GGA-PBE was carried out for an optimized crystal structure of AlTe2OsN.

Cell: 5.516 5.516 3.667 Å, 90.00 90.00 90.00°
Fractional positions:
Al: 0.000 0.000 0.000
Te: 0.000 0.500 0.500
Te: 0.500 0.000 0.500
Os: 0.500 0.500 0.500
N: 0.500 0.500 0.000

Its energy relative to the lowest polymorph listed for this composition is 0.0 meV per atom. Its density of states at the Fermi level is 1.82 states/eV/cell.



No. 2
A plane-wave DFT calculation with GGA-PBE was carried out for an optimized crystal structure of AlTlOsN2.

Cell: 4.092 4.092 6.127 Å, 90.00 90.00 90.00°
Fractional positions:
Al: 0.000 0.000 0.000
Tl: 0.000 0.000 0.500
Os: 0.500 0.500 0.000
N: 0.000 0.500 0.500
N: 0.500 0.000 0.500

Its density of states at the Fermi level is 2.43 states/eV/cell. The total energy comes out at -20.47 eV/cell.